FeCoW | PBE | relaxed

Cell and atoms, written as POSCAR:
```
FeCoW
1.0
3.952 0.000 0.000
1.976 3.422 0.000
1.976 1.141 3.227
Fe Co W
1 1 1
Cartesian
3.952 2.282 1.613
0.000 0.000 0.000
5.928 3.422 2.420
```

Formation energy from the elements = 0.666 eV/atom
Magnetization = 0.0 μB/cell
E_tot = -26.52 eV for the cell shown

***

La2TlW2 | PBE | relaxed

Cell and atoms, written as POSCAR:
```
La2TlW2
1.0
9.270 0.000 0.000
0.000 9.270 0.000
0.000 0.000 2.973
W La Tl
4 4 2
Cartesian
7.773 3.139 1.487
1.496 6.131 1.487
3.139 1.496 1.487
6.131 7.773 1.487
5.946 1.311 0.000
1.311 3.324 0.000
3.324 7.958 0.000
7.958 5.946 0.000
0.000 0.000 0.000
4.635 4.635 0.000
```

Formation energy from the elements = 1.092 eV/atom
Magnetization = 0.0 μB/cell
E_tot = -65.33 eV for the cell shown

***

BaTiP2O8 | PBE | relaxed

Cell and atoms, written as POSCAR:
```
BaTiP2O8
1.0
-0.556 3.923 -3.021
-4.653 1.659 -0.656
0.554 5.142 5.883
O P Ba Ti
8 2 1 1
Cartesian
-4.034 4.766 -2.424
-0.621 5.959 4.630
-1.712 4.459 -1.498
-0.968 7.357 2.564
-3.351 5.856 -0.198
-1.303 4.869 2.404
-3.686 3.368 -0.358
-2.943 6.265 3.704
-1.440 6.077 3.325
-3.214 4.647 -1.119
0.277 2.571 2.942
0.000 0.000 0.000
```

Raw formation energy = -2727 meV per atom
Magnetization = 0.0 μB/cell
E_tot = -93.03 eV for the cell shown